VASP calculation (PBE) on a geometry-optimized HoPaSbO6 structure.

abc: 5.6009 5.6009 9.6321
angles: 90.00 90.00 120.00
Space group P-31c (No. 163)
Asymmetric unit:
Ho 0.3333 0.6667 0.2500
Pa 0.0000 0.0000 0.0000
Sb 0.3333 0.6667 0.7500
O 0.0166 0.3362 0.6291

Magnetic moment in μB per formula unit: 0.00
E_form (uncorrected) in eV per atom: -2.7209



VASP calculation (PBE) on a geometry-optimized Sm4Er5Ag structure.

abc: 3.565 3.565 23.962
angles: 90.00 90.00 90.00
Space group P4/mmm (No. 123)
Asymmetric unit:
Sm 0.000 0.000 0.105
Sm 0.000 0.000 0.315
Er 0.500 0.500 0.000
Er 0.500 0.500 0.211
Er 0.500 0.500 0.422
Ag 0.000 0.000 0.500

Magnetic moment in μB per formula unit: 0.00
Formation energy in eV/f.u.: -0.44



VASP calculation (PBE) on a geometry-optimized Ho2ZnRuC structure.

abc: 4.927 4.927 3.893
angles: 90.00 90.00 90.00
Space group P4/mmm (No. 123)
Asymmetric unit:
Ho 0.000 0.500 0.000
Zn 0.000 0.000 0.500
Ru 0.500 0.500 0.500
C 0.500 0.500 0.000

Magnetic moment in μB per formula unit: 0.00
Formation energy in eV/f.u.: -2.03



VASP calculation (PBE) on a geometry-optimized La4CoN structure.

abc: 13.312 3.931 6.694
angles: 90.00 101.95 90.00
Space group C2/m (No. 12)
Asymmetric unit:
La 0.108 0.000 0.380
La 0.114 0.500 0.841
Co 0.000 0.000 0.000
N 0.000 0.500 0.500

Magnetic moment in μB per formula unit: 0.00
E_form (uncorrected) in eV per atom: -0.4602



no.,electronic total energy (eV/atom)
1,-8.048
2,-4.498
3,-6.192
4,-6.317